(1)
Computed, not measured: a geometry-optimized TcAs2Os structure at the PBE-GGA level of DFT.

Unit cell a=3.014 b=3.014 c=8.082 alpha=90.00 beta=90.00 gamma=120.29
Positions (direct):
Os 0.500 0.500 0.250
Tc 0.500 0.500 0.750
As 0.000 0.000 0.501
As 0.000 0.000 0.999

N(E_F) = 0.725 states/eV per atom
E above lowest polymorph = 0.516 eV/atom
crystal system = orthorhombic
ρ = 11.48 g cm⁻³

---

(2)
Computed, not measured: a geometry-optimized Li3Mg10Tl3 structure at the PBE-GGA level of DFT.

Unit cell a=5.842 b=8.487 c=8.487 alpha=120.00 beta=90.00 gamma=90.00
Positions (direct):
Tl 0.000 0.000 0.602
Tl 0.000 0.602 0.000
Tl 0.000 0.398 0.398
Li 0.500 0.414 0.000
Li 0.500 0.000 0.414
Li 0.500 0.586 0.586
Mg 0.500 0.000 0.775
Mg 0.000 0.758 0.758
Mg 0.747 0.333 0.667
Mg 0.747 0.667 0.333
Mg 0.253 0.667 0.333
Mg 0.000 0.000 0.242
Mg 0.500 0.225 0.225
Mg 0.253 0.333 0.667
Mg 0.500 0.775 0.000
Mg 0.000 0.242 0.000

N(E_F) = 0.422 states/eV per atom
total DFT energy (no corrections) = -1.822 eV/atom
crystal system = hexagonal
ρ = 4.00 g cm⁻³

---

(3)
Computed, not measured: a geometry-optimized PmDy3Cd4 structure at the PBE-GGA level of DFT.

Unit cell a=5.296 b=7.614 c=10.597 alpha=90.00 beta=90.00 gamma=90.00
Each line ends with the local moment (μB).
Positions (direct):
Cd 0.001 0.756 0.750  0.01
Cd 0.500 0.756 0.000  0.01
Cd 0.500 0.756 0.500  0.01
Cd 0.999 0.244 0.250  0.01
Cd 0.500 0.244 0.000  0.01
Cd 0.001 0.244 0.750  0.01
Cd 0.999 0.756 0.250  0.01
Cd 0.500 0.244 0.500  0.01
Pm 0.000 0.500 0.500  0.12
Pm 0.000 0.500 0.000  0.12
Dy 0.000 0.000 0.500  0.07
Dy 0.501 0.500 0.750  0.14
Dy 0.000 0.000 0.000  0.07
Dy 0.499 0.000 0.250  0.06
Dy 0.499 0.500 0.250  0.14
Dy 0.501 0.000 0.750  0.06

N(E_F) = 1.195 states/eV per atom
total DFT energy (no corrections) = -3.094 eV/atom
crystal system = tetragonal
ρ = 8.41 g cm⁻³

---

(4)
Computed, not measured: a geometry-optimized YZrFe2 structure at the PBE-GGA level of DFT.

Unit cell a=5.599 b=5.599 c=5.599 alpha=139.82 beta=139.82 gamma=58.12
Each line ends with the local moment (μB).
Positions (direct):
Fe 0.000 0.000 0.000  1.75
Fe 0.250 0.750 0.500  1.75
Zr 0.750 0.250 0.500  -0.57
Y 0.500 0.500 0.000  -0.33

N(E_F) = 1.113 states/eV per atom
E above lowest polymorph = 0.283 eV/atom
crystal system = tetragonal
ρ = 6.69 g cm⁻³

---

(5)
Computed, not measured: a geometry-optimized Nd4GaRh3 structure at the PBE-GGA level of DFT.

Unit cell a=3.934 b=4.431 c=10.966 alpha=90.00 beta=90.00 gamma=90.00
Positions (direct):
Nd 0.500 0.500 0.369
Nd 0.000 0.000 0.145
Nd 0.000 0.500 0.850
Nd 0.500 0.000 0.637
Rh 0.000 0.500 0.587
Rh 0.500 0.000 0.934
Rh 0.000 0.000 0.412
Ga 0.500 0.500 0.066

N(E_F) = 0.586 states/eV per atom
total DFT energy (no corrections) = -6.190 eV/atom
crystal system = orthorhombic
ρ = 8.30 g cm⁻³

---

(6)
Computed, not measured: a geometry-optimized NiAs2Ir structure at the PBE-GGA level of DFT.

Unit cell a=3.781 b=3.781 c=5.601 alpha=90.56 beta=90.00 gamma=90.00
Positions (direct):
As 0.500 0.371 0.356
As 0.000 0.879 0.894
Ni 0.500 0.875 0.625
Ir 0.000 0.375 0.625

N(E_F) = 0.398 states/eV per atom
E above lowest polymorph = 0.045 eV/atom
crystal system = monoclinic
ρ = 8.31 g cm⁻³

---

(7)
Computed, not measured: a geometry-optimized CsPuSc2Br8 structure at the PBE-GGA level of DFT.

Unit cell a=7.203 b=7.203 c=11.103 alpha=71.07 beta=71.07 gamma=60.00
Each line ends with the local moment (μB).
Positions (direct):
Br 0.175 0.175 0.475  -0.01
Br 0.077 0.382 0.832  -0.02
Br 0.382 0.708 0.832  -0.02
Br 0.618 0.292 0.168  -0.02
Br 0.708 0.077 0.832  -0.02
Br 0.292 0.923 0.168  -0.02
Br 0.825 0.825 0.525  -0.01
Br 0.923 0.618 0.168  -0.02
Sc 0.257 0.257 0.230  0.43
Sc 0.743 0.743 0.770  0.43
Pu 0.000 0.000 0.000  5.76
Cs 0.500 0.500 0.500  0.00

N(E_F) = 1.459 states/eV per atom
formation energy (no corrections) = -1.519 eV per atom
crystal system = trigonal
ρ = 3.97 g cm⁻³

---

(8)
Computed, not measured: a geometry-optimized BaNaSm2Se4 structure at the PBE-GGA level of DFT.

Unit cell a=8.703 b=8.703 c=8.706 alpha=120.02 beta=120.02 gamma=89.96
Positions (direct):
Se 0.276 0.765 0.021
Se 0.265 0.776 0.521
Se 0.261 0.239 0.988
Se 0.724 0.235 0.979
Se 0.735 0.224 0.479
Se 0.261 0.239 0.512
Se 0.739 0.761 0.488
Se 0.739 0.761 0.012
Ba 0.000 0.500 0.000
Ba 0.000 0.500 0.500
Sm 0.500 0.000 0.000
Sm 0.000 0.000 0.500
Sm 0.500 0.000 0.500
Sm 0.500 0.500 0.000
Na 0.000 0.000 0.000
Na 0.500 0.500 0.500

N(E_F) = 0.352 states/eV per atom
formation energy (no corrections) = -1.790 eV per atom
crystal system = orthorhombic
ρ = 5.53 g cm⁻³

---

Number 1: magnetic moment 0.0 μB/cell. Number 2: magnetic moment 0.0 μB/cell. Number 3: magnetic moment 1.4 μB/cell. Number 4: magnetic moment 2.2 μB/cell. Number 5: magnetic moment 0.0 μB/cell. Number 6: magnetic moment 0.0 μB/cell. Number 7: magnetic moment 7.0 μB/cell. Number 8: magnetic moment 0.0 μB/cell.